1.
PBE TbPm6Pr2, relaxed; symmetry = No. 12; magnetization = 0.000 μB/atom; formation energy = 52 meV/atom
1.0
8.675 -4.987 0.000
8.675 4.987 0.000
-0.003 0.000 3.567
Tb Pm Pr
1 6 2
Direct
0.000 0.000 0.000
0.001 0.668 0.499
0.331 0.669 0.500
0.332 0.999 0.501
0.668 0.001 0.499
0.669 0.331 0.500
0.999 0.332 0.501
0.333 0.333 0.000
0.667 0.667 0.000

***

2.
PBE Cs2GeSbCl6, relaxed; symmetry = No. 139; magnetization = 0.000 μB/atom; E_form (uncorrected) = -1216 meV/atom
1.0
-3.846 3.846 5.474
3.846 -3.846 5.474
3.846 3.846 -5.474
Cs Ge Sb Cl
2 1 1 6
Direct
0.250 0.750 0.500
0.750 0.250 0.500
0.000 0.000 0.000
0.500 0.500 0.000
0.246 0.246 0.000
0.247 0.247 0.494
0.247 0.753 0.000
0.753 0.247 0.000
0.753 0.753 0.506
0.754 0.754 0.000

***

3.
PBE MnZn2Se, relaxed; symmetry = No. 166; magnetization = 1.029 μB/atom; E_form (uncorrected) = 183 meV/atom
1.0
1.831 1.057 6.518
-1.831 1.057 6.518
0.000 -2.115 6.518
Mn Zn Se
1 2 1
Direct
0.000 0.000 0.000
0.247 0.247 0.247
0.753 0.753 0.753
0.500 0.500 0.500

***

4.
PBE RePtSN2, relaxed; symmetry = No. 123; magnetization = 0.001 μB/atom; E_form (uncorrected) = 755 meV/atom
1.0
3.763 0.000 0.000
0.000 3.763 0.000
0.000 0.000 5.277
Re Pt S N
1 1 1 2
Direct
0.000 0.000 0.000
0.500 0.500 0.500
0.000 0.000 0.500
0.000 0.500 0.000
0.500 0.000 0.000

***

5.
PBE NaGd3Os, relaxed; symmetry = No. 221; magnetization = 4.327 μB/atom; formation energy = -8 meV/atom
1.0
5.499 0.000 0.000
0.000 5.499 0.000
0.000 0.000 5.499
Na Gd Os
1 3 1
Direct
0.000 0.000 0.000
0.000 0.500 0.500
0.500 0.000 0.500
0.500 0.500 0.000
0.500 0.500 0.500

***

6.
PBE KScZn2, relaxed; symmetry = No. 99; magnetization = 0.073 μB/atom; formation energy = 159 meV/atom
1.0
3.375 0.000 0.000
0.000 3.375 0.000
0.000 0.000 9.055
K Sc Zn
1 1 2
Direct
0.000 0.000 0.000
0.500 0.500 0.383
0.000 0.000 0.559
0.500 0.500 0.714

***

7.
PBE TlHg5, relaxed; symmetry = No. 123; magnetization = 0.000 μB/atom; formation energy = -9 meV/atom
1.0
3.680 0.000 0.000
0.000 3.680 0.000
0.000 0.000 12.284
Tl Hg
1 5
Direct
0.000 0.000 0.000
0.000 0.000 0.336
0.000 0.000 0.664
0.500 0.500 0.177
0.500 0.500 0.500
0.500 0.500 0.823

***

8.
PBE CdHgW2, relaxed; symmetry = No. 65; magnetization = 0.000 μB/atom; formation energy = 781 meV/atom
1.0
1.688 -2.223 0.000
1.688 2.223 0.000
0.000 0.000 9.645
Cd Hg W
1 1 2
Direct
0.000 0.000 0.000
0.000 0.000 0.500
0.500 0.500 0.250
0.500 0.500 0.750